w | First-principles (GGA-PBE) data for an optimized crystal structure of TcRhAu2, as listed in Alexandria via LeMat-Bulk.

The structure in POSCAR format:
```
TcRhAu2
1.0
-2.753 -6.834 -0.110
6.572 -2.679 1.980
1.235 -4.526 3.487
Au Tc Rh
4 2 2
Cartesian
-0.587 -5.729 1.051 Au
2.367 -6.965 3.319 Au
4.260 -11.715 4.249 Au
4.069 -3.669 2.095 Au
1.910 -4.757 0.935 Tc
4.859 -5.981 3.201 Tc
0.000 0.000 0.000 Rh
0.196 -8.058 2.156 Rh
```

Values from the calculation:
- Symmetry: No. 122

x | First-principles (GGA-PBE) data for an optimized crystal structure of TcRhAu2, as listed in Alexandria via LeMat-Bulk.

The structure in POSCAR format:
```
TcRhAu2
1.0
2.809 0.000 0.000
0.000 2.809 0.000
0.000 0.000 8.094
Au Rh Tc
2 1 1
Cartesian
0.000 0.000 8.089 Au
0.000 0.000 4.053 Au
1.405 1.405 2.024 Rh
1.405 1.405 6.071 Tc
```

Values from the calculation:
- Symmetry: No. 123

Which of them is least stable? Easy: w.